Entry from Alexandria: an optimized crystal structure of NiRhN2O (GGA+U).

For the total DFT energy (no corrections), the calculation gives -4.8945 eV per atom. The total magnetization comes out at 0.19 Bohr magnetons per cell.

The space group is P4/mmm (No. 123) and the conventional cell measures 3.681, 3.681 and 3.694 Å, with angles of 90.00, 90.00 and 90.00 degrees. Symmetry generates all atoms from Ni at (0.000, 0.000, 0.000), Rh at (0.500, 0.500, 0.500), N at (0.000, 0.500, 0.000) and O at (0.000, 0.000, 0.500).